## HfMnPt2F (PBE+U)

Data for a relaxed structure of HfMnPt2F.

Properties
- D(E_F): 3.29 states/eV/cell
- Size of the total moment: 0.962 μB per atom
- Uncorrected energy: -6.534 eV per atom

POSCAR file:
```
HfMnPt2F
1.0
4.8690 0.0000 0.0000
0.0000 4.8690 0.0000
0.0000 0.0000 3.8563
Hf Mn Pt F
1 1 2 1
Direct
0.0000 0.0000 0.0000
0.5000 0.5000 0.0000
0.0000 0.5000 0.5000
0.5000 0.0000 0.5000
0.0000 0.0000 0.5000
```